A plane-wave DFT calculation with PBE+U was carried out for a geometry-optimized MgMoNO2 structure.

Computed properties:
As for the spin magnetization: 0.52 μB/cell. The total DFT energy (no corrections) is -6.2672 eV per atom.

a b c (Å): 3.9027 3.9027 4.0233
angles (deg): 90.00 90.00 90.00
Fractional coordinates of all 5 atoms:
Mg: 0.0000 0.0000 0.0000
Mo: 0.5000 0.5000 0.5000
N: 0.5000 0.5000 0.0000
O: 0.0000 0.5000 0.5000
O: 0.5000 0.0000 0.5000